The following is a DFT calculation (PBE) of crystalline TiNi2Au2 at its relaxed geometry.

Energy above the most stable polymorph in this dataset, eV per formula unit: 0.938
ΔE_f, eV/atom: 0.05

Cell: 3.4472 3.4472 13.2901 Å, 90.00 90.00 90.00°
Last column: nearest neighbours and their distance in Å.
Space group I4/mmm (No. 139)
Symmetry-distinct sites (fractional):
Ti 0.0000 0.0000 0.0000 x2  8 Au 2.80
Ni 0.0000 0.5000 0.2500 x4  4 Ni 2.44, 4 Au 2.60
Au 0.0000 0.0000 0.3965 x4  4 Ni 2.60, 1 Au 2.75, 4 Ti 2.80